Entry 1:
DFT (SCAN) results for a PBEsol-optimized structure of Li6OsN4.

The calculation puts the uncorrected formation energy at -0.53 eV/atom. The calculation puts the mass density at 4.51 g/cm³. The calculation puts the spin magnetization at 0.000 μB/cell. As for the total energy: -0.8636 Ry per atom.

The space group is P4_2/nmc (No. 137, origin choice 2) and the conventional cell measures 6.6735, 6.6735 and 4.7566 Å, with angles of 90.00, 90.00 and 90.00 degrees. The distinct sites, in fractional coordinates, are Li at (0.0399, 0.5399, 0.2500), Li at (0.2500, 0.2500, 0.1398), Os at (0.2500, 0.7500, 0.7500) and N at (0.0030, 0.2500, 0.4211).

***

Entry 2:
DFT (SCAN) results for a PBEsol-optimized structure of LiOsN2.

The calculation puts the uncorrected formation energy at -0.03 eV/atom. The calculation puts the mass density at 7.76 g/cm³. The calculation puts the spin magnetization at 0.000 μB/cell. As for the total energy: -1.7084 Ry per atom.

The space group is I-42d (No. 122) and the conventional cell measures 4.6035, 4.6035 and 9.0987 Å, with angles of 90.00, 90.00 and 90.00 degrees. The distinct sites, in fractional coordinates, are Li at (0.0000, 0.0000, 0.0000), Os at (0.0000, 0.0000, 0.5000) and N at (0.2091, 0.2500, 0.6250).

***

Entry 3:
DFT (SCAN) results for a PBEsol-optimized structure of LiOsN3.

The calculation puts the uncorrected formation energy at 2.36 eV/atom. The calculation puts the mass density at 9.69 g/cm³. The calculation puts the spin magnetization at 0.000 μB/cell. As for the total energy: -1.3281 Ry per atom.

The space group is Pm-3m (No. 221) and the conventional cell measures 3.4482, 3.4482 and 3.4482 Å, with angles of 90.00, 90.00 and 90.00 degrees. The distinct sites, in fractional coordinates, are Li at (0.0000, 0.0000, 0.0000), Os at (0.5000, 0.5000, 0.5000) and N at (0.0000, 0.0000, 0.5000).

***

Entry 4:
DFT (SCAN) results for a PBEsol-optimized structure of Li3PN.

The calculation puts the uncorrected formation energy at 0.38 eV/atom. The calculation puts the mass density at 1.09 g/cm³. The calculation puts the spin magnetization at 3.003 μB/cell. As for the total energy: -0.3667 Ry per atom.

The space group is Pm-3m (No. 221) and the conventional cell measures 4.6517, 4.6517 and 4.6517 Å, with angles of 90.00, 90.00 and 90.00 degrees. The distinct sites, in fractional coordinates, are Li at (0.0000, 0.0000, 0.5000), P at (0.0000, 0.0000, 0.0000) and N at (0.5000, 0.5000, 0.5000).

***

Entry 5:
DFT (SCAN) results for a PBEsol-optimized structure of Li2PN.

The calculation puts the uncorrected formation energy at 0.45 eV/atom. The calculation puts the mass density at 2.31 g/cm³. The calculation puts the spin magnetization at 0.000 μB/cell. As for the total energy: -0.4169 Ry per atom.

The space group is Fm-3m (No. 225) and the conventional cell measures 5.5303, 5.5303 and 5.5303 Å, with angles of 90.00, 90.00 and 90.00 degrees. The distinct sites, in fractional coordinates, are Li at (0.2500, 0.2500, 0.2500), P at (0.0000, 0.0000, 0.0000) and N at (0.0000, 0.0000, 0.5000).

***

Entry 6:
DFT (SCAN) results for a PBEsol-optimized structure of Li7PN4.

The calculation puts the uncorrected formation energy at -0.90 eV/atom. The calculation puts the mass density at 2.24 g/cm³. The calculation puts the spin magnetization at 0.000 μB/cell. As for the total energy: -0.4603 Ry per atom.

The space group is P-43n (No. 218) and the conventional cell measures 9.2925, 9.2925 and 9.2925 Å, with angles of 90.00, 90.00 and 90.00 degrees. The distinct sites, in fractional coordinates, are Li at (0.0000, 0.0000, 0.2641), Li at (0.0000, 0.0000, 0.5000), Li at (0.0000, 0.2500, 0.5000), Li at (0.0242, 0.2369, 0.7468), Li at (0.2259, 0.2259, 0.2259), P at (0.0000, 0.0000, 0.0000), P at (0.0000, 0.5000, 0.2500), N at (0.1002, 0.3869, 0.3513) and N at (0.1042, 0.1042, 0.1042).

***

Entry 7:
DFT (SCAN) results for a PBEsol-optimized structure of LiPS2N.

The calculation puts the uncorrected formation energy at 1.63 eV/atom. The value obtained for the distance to the lowest polymorph of the same formula is 346 meV per atom. The calculation puts the mass density at 2.47 g/cm³. The calculation puts the spin magnetization at 1.969 μB/cell. As for the total energy: -0.4882 Ry per atom.

The space group is P4/mmm (No. 123) and the conventional cell measures 4.1123, 4.1123 and 4.6069 Å, with angles of 90.00, 90.00 and 90.00 degrees. The distinct sites, in fractional coordinates, are Li at (0.0000, 0.0000, 0.0000), P at (0.0000, 0.0000, 0.5000), S at (0.0000, 0.5000, 0.0000) and N at (0.5000, 0.5000, 0.5000).

***

Entry 8:
DFT (SCAN) results for a PBEsol-optimized structure of LiP2SN.

The calculation puts the uncorrected formation energy at 1.73 eV/atom. The calculation puts the mass density at 2.54 g/cm³. The calculation puts the spin magnetization at 2.295 μB/cell. As for the total energy: -0.4918 Ry per atom.

The space group is P4/mmm (No. 123) and the conventional cell measures 4.2765, 4.2765 and 4.1114 Å, with angles of 90.00, 90.00 and 90.00 degrees. The distinct sites, in fractional coordinates, are Li at (0.0000, 0.0000, 0.0000), P at (0.0000, 0.5000, 0.0000), S at (0.0000, 0.0000, 0.5000) and N at (0.5000, 0.5000, 0.5000).

***

Entry 9:
DFT (SCAN) results for a PBEsol-optimized structure of LiPSN2.

The calculation puts the uncorrected formation energy at 1.83 eV/atom. The calculation puts the mass density at 2.85 g/cm³. The calculation puts the spin magnetization at 3.335 μB/cell. As for the total energy: -0.4683 Ry per atom.

The space group is P4/mmm (No. 123) and the conventional cell measures 3.4926, 3.4926 and 4.6881 Å, with angles of 90.00, 90.00 and 90.00 degrees. The distinct sites, in fractional coordinates, are Li at (0.0000, 0.0000, 0.0000), P at (0.5000, 0.5000, 0.5000), S at (0.0000, 0.0000, 0.5000) and N at (0.0000, 0.5000, 0.0000).

***

Entry 10:
DFT (SCAN) results for a PBEsol-optimized structure of LiPS2N.

The calculation puts the uncorrected formation energy at 1.28 eV/atom. The value obtained for the distance to the lowest polymorph of the same formula is 0 meV per atom. The calculation puts the mass density at 2.94 g/cm³. The calculation puts the spin magnetization at 2.134 μB/cell. As for the total energy: -0.5136 Ry per atom.

The space group is P4/mmm (No. 123) and the conventional cell measures 4.3968, 4.3968 and 3.3852 Å, with angles of 90.00, 90.00 and 90.00 degrees. The distinct sites, in fractional coordinates, are Li at (0.0000, 0.0000, 0.0000), P at (0.5000, 0.5000, 0.5000), S at (0.0000, 0.5000, 0.0000) and N at (0.0000, 0.0000, 0.5000).

***

Entry 11:
DFT (SCAN) results for a PBEsol-optimized structure of LiPSe2N.

The calculation puts the uncorrected formation energy at 0.05 eV/atom. The calculation puts the mass density at 4.24 g/cm³. The calculation puts the spin magnetization at 0.000 μB/cell. As for the total energy: -0.9110 Ry per atom.

The space group is P4/mmm (No. 123) and the conventional cell measures 5.0950, 5.0950 and 3.1695 Å, with angles of 90.00, 90.00 and 90.00 degrees. The distinct sites, in fractional coordinates, are Li at (0.0000, 0.0000, 0.0000), P at (0.5000, 0.5000, 0.5000), Se at (0.0000, 0.5000, 0.5000) and N at (0.5000, 0.5000, 0.0000).

***

Entry 12:
DFT (SCAN) results for a PBEsol-optimized structure of LiTe2PN.

The calculation puts the uncorrected formation energy at 0.11 eV/atom. The calculation puts the mass density at 5.12 g/cm³. The calculation puts the spin magnetization at 0.000 μB/cell. As for the total energy: -1.4119 Ry per atom.

The space group is P4/mmm (No. 123) and the conventional cell measures 5.5409, 5.5409 and 3.2427 Å, with angles of 90.00, 90.00 and 90.00 degrees. The distinct sites, in fractional coordinates, are Li at (0.0000, 0.0000, 0.0000), Te at (0.0000, 0.5000, 0.5000), P at (0.5000, 0.5000, 0.5000) and N at (0.5000, 0.5000, 0.0000).